(1)
Here is a relaxed structure of RbBeP2Ru from the Alexandria database. Energies are from PBE.

ΔE_f (eV per atom): 0.8248
DOS(E_F) (states/eV/f.u.): 5.04
Calculated density (kg/m3): 4655

a b c (Å): 4.5515 4.5515 4.4337
angles (deg): 90.00 90.00 90.00
With the nearest neighbours (Å) after each atom.
Space group P4/mmm (No. 123)
Asymmetric unit:
1 Rb 0.0000 0.0000 0.0000  8 P 3.18, 4 Ru 3.22
2 Be 0.5000 0.5000 0.5000  2 Ru 2.22, 4 P 2.28
3 P 0.0000 0.5000 0.5000  2 Be 2.28
4 Ru 0.5000 0.5000 0.0000  2 Be 2.22

(2)
Here is a relaxed structure of Na9Ti20O40 from the Alexandria database. Energies are from PBE.

DOS(E_F) (states/eV/f.u.): 26.90
Formation energy without anion corrections (eV/atom): -2.7497
Calculated density (kg/m3): 3650

a b c (Å): 13.7421 13.7421 8.6932
angles (deg): 90.00 90.00 90.00
With the nearest neighbours (Å) after each atom.
Space group I-4 (No. 82)
Asymmetric unit:
1 Na 0.0000 0.0000 0.0000  4 O 2.16
2 Na 0.0990 0.6986 0.5019  4 O 2.16-2.18
3 Na 0.1006 0.2007 0.2500  4 O 2.16-2.17
4 Ti 0.0004 0.2531 0.8731  6 O 2.00-2.07
5 Ti 0.0491 0.5976 0.1183  6 O 1.99-2.07
6 Ti 0.0519 0.0991 0.6261  6 O 2.01-2.04
7 Ti 0.1483 0.7993 0.1256  6 O 2.02-2.04
8 Ti 0.1490 0.3025 0.6267  6 O 2.00-2.07
9 O 0.0139 0.7417 0.1053  3 Ti 2.02-2.04, 1 Na 2.16
10 O 0.0155 0.2419 0.6433  3 Ti 2.01-2.03, 1 Na 2.16
11 O 0.0432 0.0851 0.3934  3 Ti 2.02-2.04, 1 Na 2.17
12 O 0.0426 0.5854 0.3553  3 Ti 2.00-2.07, 1 Na 2.16
13 O 0.0565 0.6136 0.8913  3 Ti 1.99-2.00
14 O 0.0582 0.1145 0.8562  3 Ti 2.01-2.07, 1 Na 2.16
15 O 0.1416 0.7848 0.8928  3 Ti 2.03-2.04, 1 Na 2.16
16 O 0.1438 0.2843 0.8570  3 Ti 2.02-2.03, 1 Na 2.16
17 O 0.1566 0.3155 0.3951  3 Ti 2.02-2.03, 1 Na 2.16
18 O 0.1571 0.8137 0.3563  3 Ti 2.02-2.07, 1 Na 2.18

(3)
Here is a relaxed structure of Cs3Tl2O4 from the Alexandria database. Energies are from PBE.

DOS(E_F) (states/eV/f.u.): 1.57
Formation energy without anion corrections (eV/atom): -0.9546
Calculated density (kg/m3): 5965

a b c (Å): 12.6878 11.0653 6.9228
angles (deg): 90.00 93.13 90.00
With the nearest neighbours (Å) after each atom.
Space group C2/c (No. 15)
Asymmetric unit:
1 Cs 0.0000 0.0802 0.2500  6 O 3.12-3.45
2 Cs 0.1115 0.3261 0.5643  4 O 3.07-3.18
3 Tl 0.2314 0.1092 0.9301  4 O 2.26-2.32
4 O 0.1258 0.2719 0.0040  2 Tl 2.26-2.32
5 O 0.1968 0.0564 0.6110  2 Tl 2.28-2.30

(4)
Here is a relaxed structure of CrFe6Ni from the Alexandria database. Energies are from PBE.

ΔE_f (eV per atom): 0.0614
DOS(E_F) (states/eV/f.u.): 10.50
Calculated density (kg/m3): 8049

a b c (Å): 7.1855 10.1238 10.1134
angles (deg): 90.00 90.00 90.00
With the nearest neighbours (Å) after each atom.
Space group Cmmm (No. 65)
Asymmetric unit:
1 Cr 0.0000 0.0000 0.2476  12 Fe 2.50-2.55
2 Cr 0.0000 0.2471 0.0000  12 Fe 2.50-2.56
3 Fe 0.0000 0.0000 0.0000  4 Cr 2.50, 8 Fe 2.54
4 Fe 0.0000 0.0000 0.5000  2 Ni 2.52, 8 Fe 2.54, 2 Cr 2.55
5 Fe 0.0000 0.2510 0.2498  2 Ni 2.52-2.53, 8 Fe 2.52-2.56, 2 Cr 2.53-2.54
6 Fe 0.0000 0.5000 0.0000  8 Fe 2.52, 2 Ni 2.54, 2 Cr 2.56
7 Fe 0.0000 0.5000 0.5000  4 Ni 2.52-2.54, 8 Fe 2.54
8 Fe 0.2479 0.3757 0.1245  8 Fe 2.52-2.56, 1 Ni 2.53, 3 Cr 2.53-2.54
9 Fe 0.2505 0.1259 0.3746  8 Fe 2.51-2.55, 3 Ni 2.53, 1 Cr 2.55
10 Ni 0.0000 0.2493 0.5000  12 Fe 2.52-2.54
11 Ni 0.0000 0.5000 0.2508  12 Fe 2.52-2.54

(5)
Here is a relaxed structure of TlInIF from the Alexandria database. Energies are from PBE.

DOS(E_F) (states/eV/f.u.): 0.00
Formation energy without anion corrections (eV/atom): -1.0653
Calculated density (kg/m3): 4938

a b c (Å): 5.8359 5.8359 31.8171
angles (deg): 90.00 90.00 120.00
With the nearest neighbours (Å) after each atom.
Space group R-3m (No. 166, hexagonal axes)
Asymmetric unit:
1 Tl 0.0000 0.0000 0.1260  1 F 2.46
2 In 0.0000 0.0000 0.2748  1 F 2.28
3 I 0.0000 0.0000 0.4107  3 In 3.42, 3 Tl 3.71, 3 F 3.76
4 F 0.0000 0.0000 0.2032  1 In 2.28, 1 Tl 2.46

(6)
Here is a relaxed structure of Tm3InHg2 from the Alexandria database. Energies are from PBE.

ΔE_f (eV per atom): -0.4573
DOS(E_F) (states/eV/f.u.): 4.79
Calculated density (kg/m3): 11266

a b c (Å): 3.7079 3.7079 10.9654
angles (deg): 90.00 90.00 90.00
With the nearest neighbours (Å) after each atom.
Space group P4/mmm (No. 123)
Asymmetric unit:
1 Tm 0.0000 0.0000 0.0000  8 Hg 3.18
2 Tm 0.0000 0.0000 0.3272  4 Hg 3.17, 4 In 3.23
3 In 0.5000 0.5000 0.5000  8 Tm 3.23
4 Hg 0.5000 0.5000 0.1645  8 Tm 3.17-3.18

(7)
Here is a relaxed structure of LiCuSbIr from the Alexandria database. Energies are from PBE.

DOS(E_F) (states/eV/f.u.): 1.90
Formation energy without anion corrections (eV/atom): -0.2099
Calculated density (kg/m3): 10506

a b c (Å): 6.2408 6.2408 6.2408
angles (deg): 90.00 90.00 90.00
With the nearest neighbours (Å) after each atom.
Space group F-43m (No. 216)
Asymmetric unit:
1 Li 0.0000 0.0000 0.0000  4 Sb 2.70, 4 Cu 2.70
2 Cu 0.2500 0.2500 0.2500  4 Li 2.70, 4 Ir 2.70
3 Sb 0.2500 0.2500 0.7500  4 Li 2.70, 4 Ir 2.70
4 Ir 0.0000 0.0000 0.5000  4 Sb 2.70, 4 Cu 2.70

(8)
Here is a relaxed structure of TiMnVN from the Alexandria database. Energies are from PBE.

DOS(E_F) (states/eV/f.u.): 2.14
Formation energy without anion corrections (eV/atom): -0.4811
Excess energy over the best structure of this formula in the dataset (meV per atom): 445
Calculated density (kg/m3): 5967

a b c (Å): 4.8188 2.9830 6.7593
angles (deg): 90.00 106.08 90.00
With the nearest neighbours (Å) after each atom.
Space group Cm (No. 8)
Asymmetric unit:
1 Ti 0.0000 0.0000 0.0000  3 N 2.02-2.09
2 Mn 0.2973 0.5000 0.3480  3 N 1.89-1.99
3 V 0.4207 0.0000 0.6586  2 Mn 2.51, 2 Ti 2.68
4 N 0.4076 0.0000 0.1889  3 Mn 1.89-1.99, 3 Ti 2.02-2.09